Record 1
This record from Alexandria describes BAs2AuBr after structural relaxation. The functional is PBE.

Properties
Raw formation energy, eV/atom: 1.550
Magnetization, Bohr magnetons per cell: 1.3
D(E_F), states/eV/cell: 4.52
Energy relative to the lowest polymorph listed for this composition, meV/atom: 659
Volume, A^3/atom: 27.80

Cell: 5.007 5.007 5.544 Å, 90.00 90.00 90.00°
Space group P4/mmm (No. 123)
One atom of each set of equivalent atoms:
B  0.000  0.000  0.000
As  0.000  0.500  0.500
Au  0.500  0.500  0.500
Br  0.500  0.500  0.000

Record 2
This record from Alexandria describes BaSc2Se after structural relaxation. The functional is PBE.

Properties
Raw formation energy, eV/atom: -0.580
Magnetization, Bohr magnetons per cell: 0.0
D(E_F), states/eV/cell: 9.19
Volume, A^3/atom: 29.75

Cell: 3.8008 3.8008 28.5350 Å, 90.00 90.00 120.00°
Space group R-3m (No. 166, hexagonal axes)
One atom of each set of equivalent atoms:
Ba  0.0000  0.0000  0.0000
Sc  0.0000  0.0000  0.2210
Se  0.0000  0.0000  0.5000

Record 3
This record from Alexandria describes Pr6NiAg2 after structural relaxation. The functional is PBE.

Properties
Magnetization, Bohr magnetons per cell: 0.0
D(E_F), states/eV/cell: 24.90
ΔH_f (0 K), eV per atom: -0.104
Energy relative to the lowest polymorph listed for this composition, meV/atom: 0
Volume, A^3/atom: 30.47

Cell: 6.515 7.931 12.171 Å, 90.00 119.29 90.00°
Space group P2_1/c (No. 14)
One atom of each set of equivalent atoms:
Pr  0.108  0.200  0.448
Pr  0.297  0.669  0.449
Pr  0.380  0.034  0.248
Ni  0.500  0.000  0.500
Ag  0.149  0.107  0.733

Which value of D(E_F) does entry 2 give? 9.19 states/eV/cell

Look up the magnetization of the third one. 0.0 Bohr magnetons per cell

Please write out number 3 again, unchanged.
This record from Alexandria describes Pr6NiAg2 after structural relaxation. The functional is PBE.

Properties
Magnetization, Bohr magnetons per cell: 0.0
D(E_F), states/eV/cell: 24.90
ΔH_f (0 K), eV per atom: -0.104
Energy relative to the lowest polymorph listed for this composition, meV/atom: 0
Volume, A^3/atom: 30.47

Cell: 6.515 7.931 12.171 Å, 90.00 119.29 90.00°
Space group P2_1/c (No. 14)
One atom of each set of equivalent atoms:
Pr  0.108  0.200  0.448
Pr  0.297  0.669  0.449
Pr  0.380  0.034  0.248
Ni  0.500  0.000  0.500
Ag  0.149  0.107  0.733

Copy entry 2 word for word.
This record from Alexandria describes BaSc2Se after structural relaxation. The functional is PBE.

Properties
Raw formation energy, eV/atom: -0.580
Magnetization, Bohr magnetons per cell: 0.0
D(E_F), states/eV/cell: 9.19
Volume, A^3/atom: 29.75

Cell: 3.8008 3.8008 28.5350 Å, 90.00 90.00 120.00°
Space group R-3m (No. 166, hexagonal axes)
One atom of each set of equivalent atoms:
Ba  0.0000  0.0000  0.0000
Sc  0.0000  0.0000  0.2210
Se  0.0000  0.0000  0.5000